First-principles (GGA-PBE) data for a relaxed SmEuSnPb crystal, as listed in Alexandria.

Cell: 7.8374 7.8374 7.8374 Å, 90.00 90.00 90.00°
With the nearest neighbours (Å) after each atom.
Fractional positions:
1 Sm 0.0000 0.0000 0.0000  4 Pb 3.39, 4 Sn 3.39
2 Sm 0.0000 0.5000 0.5000  4 Pb 3.39, 4 Sn 3.39
3 Sm 0.5000 0.0000 0.5000  4 Pb 3.39, 4 Sn 3.39
4 Sm 0.5000 0.5000 0.0000  4 Pb 3.39, 4 Sn 3.39
5 Eu 0.0000 0.0000 0.5000  4 Sn 3.39, 4 Pb 3.39
6 Eu 0.0000 0.5000 0.0000  4 Sn 3.39, 4 Pb 3.39
7 Eu 0.5000 0.0000 0.0000  4 Sn 3.39, 4 Pb 3.39
8 Eu 0.5000 0.5000 0.5000  4 Sn 3.39, 4 Pb 3.39
9 Sn 0.2500 0.2500 0.7500  4 Sm 3.39, 4 Eu 3.39
10 Sn 0.2500 0.7500 0.2500  4 Sm 3.39, 4 Eu 3.39
11 Sn 0.7500 0.2500 0.2500  4 Sm 3.39, 4 Eu 3.39
12 Sn 0.7500 0.7500 0.7500  4 Sm 3.39, 4 Eu 3.39
13 Pb 0.2500 0.2500 0.2500  4 Eu 3.39, 4 Sm 3.39
14 Pb 0.2500 0.7500 0.7500  4 Eu 3.39, 4 Sm 3.39
15 Pb 0.7500 0.2500 0.7500  4 Eu 3.39, 4 Sm 3.39
16 Pb 0.7500 0.7500 0.2500  4 Eu 3.39, 4 Sm 3.39

Summary:
energy of formation from the pure elements	-0.524	eV/atom
symmetry	F-43m, No. 216

First-principles (GGA-PBE) data for a relaxed EuSn2Pb crystal, as listed in Alexandria.

Cell: 4.1824 4.1824 6.8607 Å, 90.00 90.00 90.00°
With the nearest neighbours (Å) after each atom.
Fractional positions:
1 Eu 0.0000 0.0000 0.0000  2 Pb 3.43, 8 Sn 3.52
2 Sn 0.5000 0.5000 0.2784  1 Sn 3.04, 4 Pb 3.33
3 Sn 0.5000 0.5000 0.7216  1 Sn 3.04, 4 Pb 3.33
4 Pb 0.0000 0.0000 0.5000  8 Sn 3.33, 2 Eu 3.43

Summary:
energy of formation from the pure elements	-0.308	eV/atom
symmetry	P4/mmm, No. 123

First-principles (GGA-PBE) data for a relaxed EuSn2Pb crystal, as listed in Alexandria.

Cell: 7.8583 7.8583 7.8583 Å, 90.00 90.00 90.00°
With the nearest neighbours (Å) after each atom.
Fractional positions:
1 Eu 0.0000 0.0000 0.0000  8 Sn 3.40
2 Eu 0.0000 0.5000 0.5000  8 Sn 3.40
3 Eu 0.5000 0.0000 0.5000  8 Sn 3.40
4 Eu 0.5000 0.5000 0.0000  8 Sn 3.40
5 Sn 0.2500 0.2500 0.2500  4 Pb 3.40, 4 Eu 3.40
6 Sn 0.2500 0.2500 0.7500  4 Pb 3.40, 4 Eu 3.40
7 Sn 0.2500 0.7500 0.2500  4 Pb 3.40, 4 Eu 3.40
8 Sn 0.2500 0.7500 0.7500  4 Pb 3.40, 4 Eu 3.40
9 Sn 0.7500 0.2500 0.2500  4 Pb 3.40, 4 Eu 3.40
10 Sn 0.7500 0.2500 0.7500  4 Pb 3.40, 4 Eu 3.40
11 Sn 0.7500 0.7500 0.2500  4 Pb 3.40, 4 Eu 3.40
12 Sn 0.7500 0.7500 0.7500  4 Pb 3.40, 4 Eu 3.40
13 Pb 0.0000 0.0000 0.5000  8 Sn 3.40
14 Pb 0.0000 0.5000 0.0000  8 Sn 3.40
15 Pb 0.5000 0.0000 0.0000  8 Sn 3.40
16 Pb 0.5000 0.5000 0.5000  8 Sn 3.40

Summary:
energy of formation from the pure elements	-0.259	eV/atom
symmetry	Fm-3m, No. 225

First-principles (GGA-PBE) data for a relaxed EuSn2Pb crystal, as listed in Alexandria.

Cell: 4.8313 4.8313 4.8585 Å, 90.00 90.00 90.00°
With the nearest neighbours (Å) after each atom.
Fractional positions:
1 Eu 0.0000 0.0000 0.0000  4 Pb 3.42, 8 Sn 3.43
2 Sn 0.0000 0.5000 0.5000  4 Sn 3.42, 4 Pb 3.43, 4 Eu 3.43
3 Sn 0.5000 0.0000 0.5000  4 Sn 3.42, 4 Pb 3.43, 4 Eu 3.43
4 Pb 0.5000 0.5000 0.0000  4 Eu 3.42, 8 Sn 3.43

Summary:
energy of formation from the pure elements	-0.439	eV/atom
symmetry	P4/mmm, No. 123

First-principles (GGA-PBE) data for a relaxed SrEuSnPb crystal, as listed in Alexandria.

Cell: 8.0623 8.0623 8.0623 Å, 90.00 90.00 90.00°
With the nearest neighbours (Å) after each atom.
Fractional positions:
1 Sr 0.0000 0.0000 0.0000  4 Pb 3.49, 4 Sn 3.49
2 Sr 0.0000 0.5000 0.5000  4 Pb 3.49, 4 Sn 3.49
3 Sr 0.5000 0.0000 0.5000  4 Pb 3.49, 4 Sn 3.49
4 Sr 0.5000 0.5000 0.0000  4 Pb 3.49, 4 Sn 3.49
5 Eu 0.0000 0.0000 0.5000  4 Sn 3.49, 4 Pb 3.49
6 Eu 0.0000 0.5000 0.0000  4 Sn 3.49, 4 Pb 3.49
7 Eu 0.5000 0.0000 0.0000  4 Sn 3.49, 4 Pb 3.49
8 Eu 0.5000 0.5000 0.5000  4 Sn 3.49, 4 Pb 3.49
9 Sn 0.2500 0.2500 0.2500  4 Sr 3.49, 4 Eu 3.49
10 Sn 0.2500 0.7500 0.7500  4 Sr 3.49, 4 Eu 3.49
11 Sn 0.7500 0.2500 0.7500  4 Sr 3.49, 4 Eu 3.49
12 Sn 0.7500 0.7500 0.2500  4 Sr 3.49, 4 Eu 3.49
13 Pb 0.2500 0.2500 0.7500  4 Sr 3.49, 4 Eu 3.49
14 Pb 0.2500 0.7500 0.2500  4 Sr 3.49, 4 Eu 3.49
15 Pb 0.7500 0.2500 0.2500  4 Sr 3.49, 4 Eu 3.49
16 Pb 0.7500 0.7500 0.7500  4 Sr 3.49, 4 Eu 3.49

Summary:
energy of formation from the pure elements	-0.549	eV/atom
symmetry	F-43m, No. 216

First-principles (GGA-PBE) data for a relaxed TbEuSnPb crystal, as listed in Alexandria.

Cell: 7.7817 7.7817 7.7817 Å, 90.00 90.00 90.00°
With the nearest neighbours (Å) after each atom.
Fractional positions:
1 Tb 0.0000 0.0000 0.0000  4 Pb 3.37, 4 Sn 3.37
2 Tb 0.0000 0.5000 0.5000  4 Sn 3.37, 4 Pb 3.37
3 Tb 0.5000 0.0000 0.5000  4 Sn 3.37, 4 Pb 3.37
4 Tb 0.5000 0.5000 0.0000  4 Pb 3.37, 4 Sn 3.37
5 Eu 0.0000 0.0000 0.5000  4 Pb 3.37, 4 Sn 3.37
6 Eu 0.0000 0.5000 0.0000  4 Pb 3.37, 4 Sn 3.37
7 Eu 0.5000 0.0000 0.0000  4 Pb 3.37, 4 Sn 3.37
8 Eu 0.5000 0.5000 0.5000  4 Pb 3.37, 4 Sn 3.37
9 Sn 0.2500 0.2500 0.2500  4 Tb 3.37, 4 Eu 3.37
10 Sn 0.2500 0.7500 0.7500  4 Tb 3.37, 4 Eu 3.37
11 Sn 0.7500 0.2500 0.7500  4 Tb 3.37, 4 Eu 3.37
12 Sn 0.7500 0.7500 0.2500  4 Tb 3.37, 4 Eu 3.37
13 Pb 0.2500 0.2500 0.7500  4 Tb 3.37, 4 Eu 3.37
14 Pb 0.2500 0.7500 0.2500  4 Tb 3.37, 4 Eu 3.37
15 Pb 0.7500 0.2500 0.2500  4 Tb 3.37, 4 Eu 3.37
16 Pb 0.7500 0.7500 0.7500  4 Eu 3.37, 4 Tb 3.37

Summary:
energy of formation from the pure elements	-0.507	eV/atom
symmetry	F-43m, No. 216

First-principles (GGA-PBE) data for a relaxed EuYSnPb crystal, as listed in Alexandria.

Cell: 7.7777 7.7777 7.7777 Å, 90.00 90.00 90.00°
With the nearest neighbours (Å) after each atom.
Fractional positions:
1 Eu 0.0000 0.0000 0.0000  4 Pb 3.37, 4 Sn 3.37
2 Eu 0.0000 0.5000 0.5000  4 Pb 3.37, 4 Sn 3.37
3 Eu 0.5000 0.0000 0.5000  4 Pb 3.37, 4 Sn 3.37
4 Eu 0.5000 0.5000 0.0000  4 Pb 3.37, 4 Sn 3.37
5 Y 0.0000 0.0000 0.5000  4 Pb 3.37, 4 Sn 3.37
6 Y 0.0000 0.5000 0.0000  4 Pb 3.37, 4 Sn 3.37
7 Y 0.5000 0.0000 0.0000  4 Pb 3.37, 4 Sn 3.37
8 Y 0.5000 0.5000 0.5000  4 Pb 3.37, 4 Sn 3.37
9 Sn 0.2500 0.2500 0.2500  4 Eu 3.37, 4 Y 3.37
10 Sn 0.2500 0.7500 0.7500  4 Eu 3.37, 4 Y 3.37
11 Sn 0.7500 0.2500 0.7500  4 Eu 3.37, 4 Y 3.37
12 Sn 0.7500 0.7500 0.2500  4 Eu 3.37, 4 Y 3.37
13 Pb 0.2500 0.2500 0.7500  4 Eu 3.37, 4 Y 3.37
14 Pb 0.2500 0.7500 0.2500  4 Eu 3.37, 4 Y 3.37
15 Pb 0.7500 0.2500 0.2500  4 Eu 3.37, 4 Y 3.37
16 Pb 0.7500 0.7500 0.7500  4 Eu 3.37, 4 Y 3.37

Summary:
energy of formation from the pure elements	-0.518	eV/atom
symmetry	F-43m, No. 216

First-principles (GGA-PBE) data for a relaxed EuZnSnPb crystal, as listed in Alexandria.

Cell: 7.6605 7.6605 7.6605 Å, 90.00 90.00 90.00°
With the nearest neighbours (Å) after each atom.
Fractional positions:
1 Eu 0.0000 0.0000 0.0000  4 Sn 3.32, 4 Zn 3.32
2 Eu 0.0000 0.5000 0.5000  4 Sn 3.32, 4 Zn 3.32
3 Eu 0.5000 0.0000 0.5000  4 Sn 3.32, 4 Zn 3.32
4 Eu 0.5000 0.5000 0.0000  4 Sn 3.32, 4 Zn 3.32
5 Zn 0.2500 0.2500 0.7500  4 Pb 3.32, 4 Eu 3.32
6 Zn 0.2500 0.7500 0.2500  4 Pb 3.32, 4 Eu 3.32
7 Zn 0.7500 0.2500 0.2500  4 Pb 3.32, 4 Eu 3.32
8 Zn 0.7500 0.7500 0.7500  4 Pb 3.32, 4 Eu 3.32
9 Sn 0.2500 0.2500 0.2500  4 Pb 3.32, 4 Eu 3.32
10 Sn 0.2500 0.7500 0.7500  4 Pb 3.32, 4 Eu 3.32
11 Sn 0.7500 0.2500 0.7500  4 Pb 3.32, 4 Eu 3.32
12 Sn 0.7500 0.7500 0.2500  4 Pb 3.32, 4 Eu 3.32
13 Pb 0.0000 0.0000 0.5000  4 Zn 3.32, 4 Sn 3.32
14 Pb 0.0000 0.5000 0.0000  4 Zn 3.32, 4 Sn 3.32
15 Pb 0.5000 0.0000 0.0000  4 Zn 3.32, 4 Sn 3.32
16 Pb 0.5000 0.5000 0.5000  4 Zn 3.32, 4 Sn 3.32

Summary:
energy of formation from the pure elements	-0.227	eV/atom
symmetry	F-43m, No. 216

Record order is preserved below.
DFT total energy: -0.228, -0.213, -0.212, -0.218, -0.201, -0.226, -0.244, -0.185 hartree per atom